1.
VASP calculation (PBE-GGA) on Ga2HgGe2 after structural relaxation.

ΔH_f (0 K) = 0.106 eV per atom
distance to the lowest polymorph of the same formula = 0.000 eV per atom
magnetic moment = 0.00 μB per atom
symmetry = I4/mmm, No. 139

Cell lengths 4.646, 4.646, 6.056 Å; angles 67.44, 67.44, 90.00 degrees
Fractional positions:
Ge1 0.378 0.378 0.243
Ge2 0.622 0.622 0.757
Hg1 0.000 0.000 0.000
Ga1 0.750 0.250 0.500
Ga2 0.250 0.750 0.500

2.
VASP calculation (PBE-GGA) on B2MoPtPb after structural relaxation.

ΔH_f (0 K) = 1.001 eV per atom
magnetic moment = 0.00 μB per atom
symmetry = P4/mmm, No. 123

Cell lengths 4.252, 5.079, 4.252 Å; angles 90.00, 90.00, 90.00 degrees
Fractional positions:
Pb1 0.500 0.500 0.500
Mo1 0.000 0.000 0.000
B1 0.000 0.000 0.500
B2 0.500 0.000 0.000
Pt1 0.000 0.500 0.000

3.
VASP calculation (PBE-GGA) on HgPdPbAu after structural relaxation.

ΔH_f (0 K) = -0.037 eV per atom
magnetic moment = 0.00 μB per atom
symmetry = F-43m, No. 216

Cell lengths 4.906, 4.906, 4.906 Å; angles 60.00, 60.00, 60.00 degrees
Fractional positions:
Pb1 0.250 0.250 0.250
Au1 0.000 0.000 0.000
Hg1 0.750 0.750 0.750
Pd1 0.500 0.500 0.500

4.
VASP calculation (PBE-GGA) on Pm3IrF after structural relaxation.

energy relative to the elements, uncorrected = -1.328 eV/atom
magnetic moment = 0.00 μB per atom
symmetry = P2_1/m, No. 11

Cell lengths 3.805, 7.912, 8.584 Å; angles 104.00, 90.00, 90.00 degrees
Fractional positions:
Pm1 0.750 0.608 0.373
Pm2 0.250 0.392 0.627
Pm3 0.750 0.299 0.990
Pm4 0.250 0.928 0.701
Pm5 0.250 0.701 0.010
Pm6 0.750 0.072 0.299
Ir1 0.250 0.333 0.259
Ir2 0.750 0.667 0.741
F1 0.250 0.867 0.413
F2 0.750 0.133 0.587